A relaxed structure of MgFeNi2O4, computed with PBE with a Hubbard U.

a = 3.037 Å, b = 5.240 Å, c = 5.176 Å
α = 108.50°, β = 90.00°, γ = 90.00°
Fractional coordinates of all 8 atoms:
Mg: 0.000 0.000 0.000
Fe: 0.500 0.500 0.000
Ni: 0.500 0.000 0.500
Ni: 0.000 0.500 0.500
O: 0.500 0.250 0.246
O: 0.500 0.750 0.754
O: 0.000 0.238 0.739
O: 0.000 0.762 0.261

Results
- D(E_F) (states/eV per cell) = 0.00
- VASP energy (eV per cell) = -44.6